CaVRh2 | GGA-PBE | optimized geometry

Properties
The value obtained for the energy above the most stable polymorph in this dataset is 240.1 meV/atom. The formation energy comes out at -98 meV per atom.

Unit cell a=4.531 b=4.531 c=4.531 alpha=60.00 beta=60.00 gamma=60.00
Each line ends with the local moment (μB).
Element x y z (fractional)
1 Rh 0.250 0.250 0.250  0.00
2 Rh 0.750 0.750 0.750  0.00
3 V 0.500 0.500 0.500  1.26
4 Ca 0.000 0.000 0.000  -0.01

---

MoC2Br | GGA-PBE | optimized geometry

Properties
As for the formation energy from raw total energies: 1.43 eV/atom. The value obtained for the energy above the most stable polymorph in this dataset is 0.0 meV/atom.

Unit cell a=5.449 b=5.449 c=6.221 alpha=64.03 beta=64.03 gamma=90.00
Element x y z (fractional)
1 C 0.875 0.998 0.750
2 C 0.002 0.625 0.250
3 C 0.375 0.252 0.750
4 C 0.748 0.125 0.250
5 Br 0.250 0.750 0.500
6 Br 0.500 0.500 0.000
7 Mo 0.000 0.000 0.000
8 Mo 0.750 0.250 0.500

---

GaGeSb2 | GGA-PBE | optimized geometry

Properties
As for the formation energy from raw total energies: 0.08 eV/atom. The value obtained for the energy above the most stable polymorph in this dataset is 0.0 meV/atom.

Unit cell a=6.315 b=6.315 c=7.793 alpha=66.10 beta=66.10 gamma=90.00
Element x y z (fractional)
1 Sb 0.615 0.125 0.250
2 Sb 0.875 0.865 0.750
3 Sb 0.135 0.625 0.250
4 Sb 0.375 0.385 0.750
5 Ge 0.750 0.250 0.500
6 Ge 0.000 0.000 0.000
7 Ga 0.250 0.750 0.500
8 Ga 0.500 0.500 0.000

---

Mg3ScCd6 | GGA-PBE | optimized geometry

Properties
The formation energy comes out at -121 meV per atom.

Unit cell a=4.954 b=8.611 c=10.691 alpha=107.89 beta=90.00 gamma=90.00
Element x y z (fractional)
1 Cd 0.250 0.162 0.184
2 Cd 0.750 0.744 0.517
3 Cd 0.750 0.141 0.721
4 Cd 0.250 0.470 0.083
5 Cd 0.250 0.644 0.671
6 Cd 0.250 0.075 0.888
7 Cd 0.750 0.530 0.917
8 Cd 0.750 0.838 0.816
9 Cd 0.750 0.925 0.112
10 Cd 0.750 0.356 0.329
11 Cd 0.250 0.859 0.279
12 Cd 0.250 0.256 0.483
13 Mg 0.750 0.247 0.031
14 Mg 0.250 0.753 0.969
15 Mg 0.250 0.567 0.381
16 Mg 0.750 0.646 0.221
17 Mg 0.250 0.354 0.779
18 Mg 0.750 0.433 0.619
19 Sc 0.750 0.046 0.410
20 Sc 0.250 0.954 0.590

---

CdSe3 | GGA-PBE | optimized geometry

Properties
As for the formation energy from raw total energies: -0.10 eV/atom.

Unit cell a=4.938 b=4.938 c=4.938 alpha=109.47 beta=109.47 gamma=109.47
Element x y z (fractional)
1 Se 0.500 0.500 0.000
2 Se 0.000 0.500 0.500
3 Se 0.500 0.000 0.500
4 Cd 0.000 0.000 0.000

---

LiHf | GGA-PBE | optimized geometry

Properties
The value obtained for the energy above the most stable polymorph in this dataset is 277.6 meV/atom. The formation energy comes out at 602 meV per atom.

Unit cell a=7.072 b=8.359 c=10.235 alpha=90.00 beta=90.00 gamma=90.00
Element x y z (fractional)
1 Hf 0.500 0.679 0.500
2 Hf 0.250 0.929 0.750
3 Hf 0.000 0.321 0.000
4 Hf 0.750 0.429 0.750
5 Hf 0.250 0.071 0.250
6 Hf 0.000 0.179 0.500
7 Hf 0.000 0.679 0.000
8 Hf 0.750 0.071 0.750
9 Hf 0.250 0.429 0.250
10 Hf 0.750 0.571 0.250
11 Hf 0.500 0.321 0.500
12 Hf 0.000 0.821 0.500
13 Hf 0.750 0.929 0.250
14 Hf 0.250 0.571 0.750
15 Hf 0.500 0.821 0.000
16 Hf 0.500 0.179 0.000
17 Li 0.656 0.500 0.000
18 Li 0.344 0.500 0.000
19 Li 0.906 0.250 0.250
20 Li 0.344 0.000 0.500
21 Li 0.844 0.000 0.000
22 Li 0.406 0.750 0.250
23 Li 0.594 0.750 0.750
24 Li 0.656 0.000 0.500
25 Li 0.156 0.000 0.000
26 Li 0.156 0.500 0.500
27 Li 0.906 0.750 0.750
28 Li 0.094 0.250 0.750
29 Li 0.594 0.250 0.250
30 Li 0.844 0.500 0.500
31 Li 0.406 0.250 0.750
32 Li 0.094 0.750 0.250

---

Copy entry 3 word for word.
GaGeSb2 | GGA-PBE | optimized geometry

Properties
As for the formation energy from raw total energies: 0.08 eV/atom. The value obtained for the energy above the most stable polymorph in this dataset is 0.0 meV/atom.

Unit cell a=6.315 b=6.315 c=7.793 alpha=66.10 beta=66.10 gamma=90.00
Element x y z (fractional)
1 Sb 0.615 0.125 0.250
2 Sb 0.875 0.865 0.750
3 Sb 0.135 0.625 0.250
4 Sb 0.375 0.385 0.750
5 Ge 0.750 0.250 0.500
6 Ge 0.000 0.000 0.000
7 Ga 0.250 0.750 0.500
8 Ga 0.500 0.500 0.000